YEr3Tc: optimized geometry, GGA-PBE.

Summary:
- energy above the lowest structure with this stoichiometry (eV per atom) = 0.1574
- spin magnetization (μB/f.u.) = 0.002

Cell lengths 5.342, 5.342, 5.342 Å; angles 90.00, 90.00, 90.00 degrees
Sites, in units of the cell vectors:
Y 0.000 0.000 0.000
Er 0.000 0.500 0.500
Er 0.500 0.000 0.500
Er 0.500 0.500 0.000
Tc 0.500 0.500 0.500

---

YEr2Tc: optimized geometry, GGA-PBE.

Summary:
- energy above the lowest structure with this stoichiometry (eV per atom) = 0.0055
- spin magnetization (μB/f.u.) = 0.001

Cell lengths 6.226, 6.226, 9.082 Å; angles 90.00, 90.00, 143.43 degrees
Sites, in units of the cell vectors:
Y 0.071 0.929 0.750
Y 0.929 0.071 0.250
Er 0.355 0.645 0.566
Er 0.355 0.645 0.934
Er 0.645 0.355 0.066
Er 0.645 0.355 0.434
Tc 0.259 0.741 0.250
Tc 0.741 0.259 0.750

---

Er6ZnTc: optimized geometry, GGA-PBE.

Summary:
- spin magnetization (μB/f.u.) = 0.000

Cell lengths 9.271, 9.271, 9.271 Å; angles 149.21, 149.21, 44.10 degrees
Sites, in units of the cell vectors:
Er 0.097 0.597 0.500
Er 0.248 0.248 0.000
Er 0.403 0.903 0.500
Er 0.597 0.097 0.500
Er 0.752 0.752 0.000
Er 0.903 0.403 0.500
Zn 0.500 0.500 0.000
Tc 0.000 0.000 0.000

---

| no. | ΔE_f (eV/atom) |
| --- | --- |
| 1 | 0.127 |
| 2 | -0.117 |
| 3 | -0.070 |